# 1
Ce2Y12Tm5: optimized geometry, PBE-GGA.

Properties
The value obtained for the total energy is -5.747 eV per atom. For the formation energy from the elements, the calculation gives 0.137 eV per atom. As for the total magnetic moment: 0.80 μB per cell.

a = 6.7143 Å, b = 8.8884 Å, c = 10.9060 Å
α = 107.36°, β = 93.79°, γ = 100.00°
Last column: nearest neighbours and their distance in Å.
Element x y z (fractional)
Ce  0.2078  0.0266  0.4910  1 Ce 2.78
Ce  0.7922  0.9734  0.5090  1 Ce 2.78
Y  0.0049  0.3931  0.6009  5 Y 3.31-3.59, 2 Tm 3.36-3.63, 2 Ce 3.56-3.65
Y  0.1133  0.4310  0.0909  4 Y 3.07-3.33, 1 Tm 3.24
Y  0.1179  0.2205  0.2807  4 Y 3.18-3.55, 1 Ce 3.34, 3 Tm 3.38-3.45
Y  0.3862  0.8521  0.6913  2 Ce 3.31-3.68, 4 Y 3.34-3.51, 3 Tm 3.45-3.70
Y  0.4021  0.6088  0.8859  5 Y 3.33-3.61, 1 Tm 3.48
Y  0.4202  0.7581  0.2559  2 Y 3.20-3.34, 2 Tm 3.41-3.56, 2 Ce 3.43-3.51
Y  0.5798  0.2419  0.7441  2 Y 3.20-3.34, 2 Tm 3.41-3.56, 2 Ce 3.43-3.51
Y  0.5979  0.3912  0.1141  5 Y 3.33-3.61, 1 Tm 3.48
Y  0.6138  0.1479  0.3087  2 Ce 3.31-3.68, 4 Y 3.34-3.51, 3 Tm 3.45-3.70
Y  0.8821  0.7795  0.7193  4 Y 3.18-3.55, 1 Ce 3.34, 3 Tm 3.38-3.45
Y  0.8867  0.5690  0.9091  4 Y 3.07-3.33, 1 Tm 3.24
Y  0.9951  0.6069  0.3991  5 Y 3.31-3.59, 2 Tm 3.36-3.63, 2 Ce 3.56-3.65
Tm  0.0834  0.1810  0.8020  5 Y 3.24-3.56, 2 Ce 3.44-3.47, 2 Tm 3.48-3.56
Tm  0.2459  0.9722  0.0103  6 Y 3.38-3.76, 4 Tm 3.39-3.56
Tm  0.5000  0.5000  0.5000  8 Y 3.45-3.85
Tm  0.7541  0.0278  0.9897  6 Y 3.38-3.76, 4 Tm 3.39-3.56
Tm  0.9166  0.8190  0.1980  5 Y 3.24-3.56, 2 Ce 3.44-3.47, 2 Tm 3.48-3.56

=====

# 2
CeY6Tm8: optimized geometry, PBE-GGA.

Properties
The value obtained for the total energy is -5.237 eV per atom. For the formation energy from the elements, the calculation gives 0.129 eV per atom. As for the total magnetic moment: 1.42 μB per cell.

a = 8.5448 Å, b = 8.5448 Å, c = 8.5448 Å
α = 63.24°, β = 63.24°, γ = 63.24°
Last column: nearest neighbours and their distance in Å.
Element x y z (fractional)
Ce  0.0000  0.0000  0.0000  6 Y 3.40, 6 Tm 3.47
Y  0.1068  0.5400  0.2279  4 Tm 3.35-3.65, 1 Ce 3.40, 4 Y 3.47-3.71
Y  0.2279  0.1068  0.5400  4 Tm 3.35-3.65, 1 Ce 3.40, 4 Y 3.47-3.71
Y  0.4600  0.7721  0.8932  4 Tm 3.35-3.65, 1 Ce 3.40, 4 Y 3.47-3.71
Y  0.5400  0.2279  0.1068  4 Tm 3.35-3.65, 1 Ce 3.40, 4 Y 3.47-3.71
Y  0.7721  0.8932  0.4600  4 Tm 3.35-3.65, 1 Ce 3.40, 4 Y 3.47-3.71
Y  0.8932  0.4600  0.7721  4 Tm 3.35-3.65, 1 Ce 3.40, 4 Y 3.47-3.71
Tm  0.1115  0.7172  0.7503  3 Y 3.36-3.65, 5 Tm 3.38-3.40, 1 Ce 3.47
Tm  0.2497  0.8885  0.2828  3 Y 3.36-3.65, 5 Tm 3.38-3.40, 1 Ce 3.47
Tm  0.2828  0.2497  0.8885  3 Y 3.36-3.65, 5 Tm 3.38-3.40, 1 Ce 3.47
Tm  0.4235  0.4235  0.4235  4 Tm 3.12-3.38, 3 Y 3.35
Tm  0.5765  0.5765  0.5765  4 Tm 3.12-3.38, 3 Y 3.35
Tm  0.7172  0.7503  0.1115  3 Y 3.36-3.65, 5 Tm 3.38-3.40, 1 Ce 3.47
Tm  0.7503  0.1115  0.7172  3 Y 3.36-3.65, 5 Tm 3.38-3.40, 1 Ce 3.47
Tm  0.8885  0.2828  0.2497  3 Y 3.36-3.65, 5 Tm 3.38-3.40, 1 Ce 3.47

=====

# 3
CeY3Tm: optimized geometry, PBE-GGA.

Properties
The value obtained for the total energy is -5.912 eV per atom. For the formation energy from the elements, the calculation gives 0.048 eV per atom. As for the total magnetic moment: 1.62 μB per cell.

a = 3.6008 Å, b = 8.4532 Å, c = 11.0762 Å
α = 106.68°, β = 99.35°, γ = 90.01°
Last column: nearest neighbours and their distance in Å.
Element x y z (fractional)
Ce  0.1867  0.3815  0.3730  4 Ce 3.42-3.60, 2 Tm 3.50-3.51, 6 Y 3.54-3.67
Ce  0.8133  0.6185  0.6270  4 Ce 3.42-3.60, 2 Tm 3.50-3.51, 6 Y 3.54-3.67
Y  0.0166  0.2145  0.0338  7 Y 3.48-3.62, 4 Tm 3.50-3.58, 1 Ce 3.56
Y  0.2174  0.8171  0.4352  3 Tm 3.49-3.64, 6 Y 3.50-3.60, 3 Ce 3.54-3.55
Y  0.4159  0.4152  0.8325  9 Y 3.51-3.62, 1 Tm 3.52, 2 Ce 3.67
Y  0.5841  0.5848  0.1675  9 Y 3.51-3.62, 1 Tm 3.52, 2 Ce 3.67
Y  0.7826  0.1829  0.5648  3 Tm 3.49-3.64, 6 Y 3.50-3.60, 3 Ce 3.54-3.55
Y  0.9834  0.7855  0.9662  7 Y 3.48-3.62, 4 Tm 3.50-3.58, 1 Ce 3.56
Tm  0.3837  0.9818  0.7673  8 Y 3.49-3.64, 2 Ce 3.50-3.51, 2 Tm 3.60
Tm  0.6163  0.0182  0.2327  8 Y 3.49-3.64, 2 Ce 3.50-3.51, 2 Tm 3.60

=====

# 4
CeY4Tm5: optimized geometry, PBE-GGA.

Properties
The value obtained for the total energy is -5.134 eV per atom. For the formation energy from the elements, the calculation gives 0.281 eV per atom. As for the total magnetic moment: 1.58 μB per cell.

a = 9.1380 Å, b = 9.1380 Å, c = 8.5385 Å
α = 116.13°, β = 116.13°, γ = 31.80°
Last column: nearest neighbours and their distance in Å.
Element x y z (fractional)
Ce  0.0000  0.0000  0.0000  6 Y 3.29-3.53
Y  0.1777  0.1777  0.4227  4 Y 3.38-3.40, 7 Tm 3.45-3.59, 1 Ce 3.53
Y  0.4692  0.4692  0.7274  2 Ce 3.29, 6 Tm 3.35-3.63, 2 Y 3.40
Y  0.5308  0.5308  0.2726  2 Ce 3.29, 6 Tm 3.35-3.63, 2 Y 3.40
Y  0.8223  0.8223  0.5773  4 Y 3.38-3.40, 7 Tm 3.45-3.59, 1 Ce 3.53
Tm  0.0000  0.0000  0.5000  6 Y 3.36-3.47, 4 Tm 3.60
Tm  0.3246  0.3246  0.8811  5 Y 3.35-3.63, 3 Tm 3.43-3.56, 2 Ce 3.73
Tm  0.3371  0.3371  0.2941  5 Y 3.35-3.57, 5 Tm 3.43-3.60
Tm  0.6629  0.6629  0.7059  5 Y 3.35-3.57, 5 Tm 3.43-3.60
Tm  0.6754  0.6754  0.1189  5 Y 3.35-3.63, 3 Tm 3.43-3.56, 2 Ce 3.73

=====

# 5
Ce2Y2Tm7: optimized geometry, PBE-GGA.

Properties
The value obtained for the total energy is -4.893 eV per atom. For the formation energy from the elements, the calculation gives 0.207 eV per atom. As for the total magnetic moment: 1.82 μB per cell.

a = 7.9752 Å, b = 7.9752 Å, c = 5.8493 Å
α = 105.46°, β = 105.46°, γ = 89.75°
Last column: nearest neighbours and their distance in Å.
Element x y z (fractional)
Ce  0.0632  0.0632  0.3240  1 Ce 2.91
Ce  0.9368  0.9368  0.6760  1 Ce 2.91
Y  0.2864  0.7136  0.0000  6 Tm 3.24-3.46
Y  0.7136  0.2864  0.0000  6 Tm 3.24-3.46
Tm  0.0884  0.5549  0.3207  4 Tm 3.12-3.45, 2 Y 3.24-3.46
Tm  0.2720  0.2720  0.9130  5 Tm 3.30-3.45, 2 Ce 3.36-3.51, 2 Y 3.42
Tm  0.4451  0.9116  0.6793  4 Tm 3.12-3.45, 2 Y 3.24-3.46
Tm  0.5000  0.5000  0.5000  6 Tm 3.24-3.43
Tm  0.5549  0.0884  0.3207  4 Tm 3.12-3.45, 2 Y 3.24-3.46
Tm  0.7280  0.7280  0.0870  5 Tm 3.30-3.45, 2 Ce 3.36-3.51, 2 Y 3.42
Tm  0.9116  0.4451  0.6793  4 Tm 3.12-3.45, 2 Y 3.24-3.46

=====

# 6
CeY3Tm2: optimized geometry, PBE-GGA.

Properties
The value obtained for the total energy is -5.649 eV per atom. For the formation energy from the elements, the calculation gives 0.063 eV per atom. As for the total magnetic moment: 2.33 μB per cell.

a = 5.0098 Å, b = 15.0090 Å, c = 5.0094 Å
α = 90.00°, β = 90.00°, γ = 90.00°
Last column: nearest neighbours and their distance in Å.
Element x y z (fractional)
Ce  0.0000  0.0000  0.0000  8 Y 3.52-3.54, 4 Tm 3.55
Ce  0.5000  0.5000  0.0000  8 Y 3.52-3.54, 4 Tm 3.55
Y  0.0000  0.1648  0.5000  2 Ce 3.52, 4 Y 3.52-3.58, 6 Tm 3.54-3.55
Y  0.0000  0.5000  0.5000  4 Y 3.52, 4 Ce 3.54, 4 Tm 3.55
Y  0.0000  0.8352  0.5000  2 Ce 3.52, 4 Y 3.52-3.58, 6 Tm 3.54-3.55
Y  0.5000  0.0000  0.5000  4 Y 3.52, 4 Ce 3.54, 4 Tm 3.55
Y  0.5000  0.3352  0.5000  2 Ce 3.52, 4 Y 3.52-3.58, 6 Tm 3.54-3.55
Y  0.5000  0.6648  0.5000  2 Ce 3.52, 4 Y 3.52-3.58, 6 Tm 3.54-3.55
Tm  0.0000  0.3327  0.0000  2 Tm 3.53, 8 Y 3.54-3.55, 2 Ce 3.55
Tm  0.0000  0.6673  0.0000  2 Tm 3.53, 8 Y 3.54-3.55, 2 Ce 3.55
Tm  0.5000  0.1673  0.0000  2 Tm 3.53, 8 Y 3.54-3.55, 2 Ce 3.55
Tm  0.5000  0.8327  0.0000  2 Tm 3.53, 8 Y 3.54-3.55, 2 Ce 3.55

=====

# 7
CeY5Tm4: optimized geometry, PBE-GGA.

Properties
The value obtained for the total energy is -5.319 eV per atom. For the formation energy from the elements, the calculation gives 0.295 eV per atom. As for the total magnetic moment: 0.68 μB per cell.

a = 7.9695 Å, b = 7.9695 Å, c = 7.9695 Å
α = 97.67°, β = 97.67°, γ = 137.15°
Last column: nearest neighbours and their distance in Å.
Element x y z (fractional)
Ce  0.0000  0.0000  0.0000  1 Y 2.71
Y  0.0428  0.0428  0.6267  1 Ce 3.07, 1 Y 3.29, 2 Tm 3.29
Y  0.0428  0.4161  0.0000  1 Ce 3.07, 1 Y 3.29, 2 Tm 3.29
Y  0.4161  0.0428  0.0000  1 Ce 3.07, 1 Y 3.29, 2 Tm 3.29
Y  0.4161  0.4161  0.3733  1 Ce 3.07, 1 Y 3.29, 2 Tm 3.29
Y  0.5338  0.5338  0.0000  1 Ce 2.71
Tm  0.0609  0.7324  0.3285  3 Y 3.29-3.64, 1 Tm 3.60
Tm  0.4039  0.7324  0.6715  3 Y 3.29-3.64, 1 Tm 3.60
Tm  0.7324  0.0609  0.3285  3 Y 3.29-3.64, 1 Tm 3.60
Tm  0.7324  0.4039  0.6715  3 Y 3.29-3.64, 1 Tm 3.60

=====

# 8
Ce2Y7Tm2: optimized geometry, PBE-GGA.

Properties
The value obtained for the total energy is -5.795 eV per atom. For the formation energy from the elements, the calculation gives 0.210 eV per atom. As for the total magnetic moment: 2.50 μB per cell.

a = 8.0402 Å, b = 8.0402 Å, c = 5.9857 Å
α = 105.26°, β = 105.26°, γ = 92.94°
Last column: nearest neighbours and their distance in Å.
Element x y z (fractional)
Ce  0.2117  0.7883  0.0000  4 Y 3.21-3.44, 2 Tm 3.43
Ce  0.7883  0.2117  0.0000  4 Y 3.21-3.44, 2 Tm 3.43
Y  0.0000  0.0000  0.5000  4 Y 3.32, 2 Tm 3.45
Y  0.0667  0.5884  0.3228  4 Y 3.21-3.59, 2 Ce 3.21-3.44, 1 Tm 3.36
Y  0.4074  0.4074  0.6940  3 Tm 3.41-3.73, 6 Y 3.45-3.79, 2 Ce 3.78
Y  0.4116  0.9333  0.6772  4 Y 3.21-3.59, 2 Ce 3.21-3.44, 1 Tm 3.36
Y  0.5884  0.0667  0.3228  4 Y 3.21-3.59, 2 Ce 3.21-3.44, 1 Tm 3.36
Y  0.5926  0.5926  0.3060  3 Tm 3.41-3.73, 6 Y 3.45-3.79, 2 Ce 3.78
Y  0.9333  0.4116  0.6772  4 Y 3.21-3.59, 2 Ce 3.21-3.44, 1 Tm 3.36
Tm  0.2287  0.2287  0.0861  8 Y 3.36-3.73, 2 Ce 3.43
Tm  0.7713  0.7713  0.9139  8 Y 3.36-3.73, 2 Ce 3.43

=====

# 9
CeY4Tm7: optimized geometry, PBE-GGA.

Properties
The value obtained for the total energy is -4.968 eV per atom. For the formation energy from the elements, the calculation gives 0.289 eV per atom. As for the total magnetic moment: 1.14 μB per cell.

a = 6.6275 Å, b = 6.6275 Å, c = 12.6261 Å
α = 114.75°, β = 114.75°, γ = 51.72°
Last column: nearest neighbours and their distance in Å.
Element x y z (fractional)
Ce  0.0000  0.0000  0.0000  4 Tm 2.89-3.04
Y  0.2494  0.2494  0.6851  4 Tm 3.24-3.55, 2 Y 3.63
Y  0.3695  0.3695  0.2247  7 Tm 3.34-3.54, 2 Y 3.63
Y  0.6305  0.6305  0.7753  7 Tm 3.34-3.54, 2 Y 3.63
Y  0.7506  0.7506  0.3149  4 Tm 3.24-3.55, 2 Y 3.63
Tm  0.0614  0.0614  0.3275  4 Tm 3.24-3.49, 2 Y 3.54
Tm  0.2070  0.2070  0.9241  1 Ce 3.04, 4 Tm 3.16-3.35, 4 Y 3.28-3.36
Tm  0.3649  0.3649  0.4977  4 Tm 3.20-3.49, 5 Y 3.24-3.55
Tm  0.5000  0.5000  0.0000  2 Ce 2.89, 2 Tm 3.16
Tm  0.6351  0.6351  0.5023  4 Tm 3.20-3.49, 5 Y 3.24-3.55
Tm  0.7930  0.7930  0.0759  1 Ce 3.04, 4 Tm 3.16-3.35, 4 Y 3.28-3.36
Tm  0.9386  0.9386  0.6725  4 Tm 3.24-3.49, 2 Y 3.54

=====

# 10
CeY4Tm6: optimized geometry, PBE-GGA.

Properties
The value obtained for the total energy is -5.188 eV per atom. For the formation energy from the elements, the calculation gives 0.141 eV per atom. As for the total magnetic moment: 1.47 μB per cell.

a = 5.5842 Å, b = 5.5842 Å, c = 25.4923 Å
α = 90.00°, β = 90.00°, γ = 119.79°
Last column: nearest neighbours and their distance in Å.
Element x y z (fractional)
Ce  0.1704  0.8296  0.7500  3 Tm 3.22-3.23
Ce  0.8296  0.1704  0.2500  3 Tm 3.22-3.23
Y  0.1655  0.8345  0.0412  8 Tm 3.39-3.66
Y  0.1655  0.8345  0.4588  8 Tm 3.39-3.66
Y  0.4960  0.5040  0.1222  5 Tm 3.11-3.27
Y  0.4960  0.5040  0.3778  5 Tm 3.11-3.27
Y  0.5040  0.4960  0.6222  5 Tm 3.11-3.27
Y  0.5040  0.4960  0.8778  5 Tm 3.11-3.27
Y  0.8345  0.1655  0.5412  8 Tm 3.39-3.66
Y  0.8345  0.1655  0.9588  8 Tm 3.39-3.66
Tm  0.1627  0.8373  0.1819  7 Tm 3.47-3.81, 4 Y 3.56-3.59, 3 Ce 3.66-3.67
Tm  0.1627  0.8373  0.3181  7 Tm 3.47-3.81, 4 Y 3.56-3.59, 3 Ce 3.66-3.67
Tm  0.1699  0.8301  0.6026  6 Y 3.27-3.60
Tm  0.1699  0.8301  0.8974  6 Y 3.27-3.60
Tm  0.4961  0.5039  0.2500  3 Ce 3.22-3.23, 2 Y 3.26
Tm  0.5000  0.5000  0.0000  8 Y 3.11-3.40
Tm  0.5000  0.5000  0.5000  8 Y 3.11-3.40
Tm  0.5039  0.4961  0.7500  3 Ce 3.22-3.23, 2 Y 3.26
Tm  0.8301  0.1699  0.1026  6 Y 3.27-3.60
Tm  0.8301  0.1699  0.3974  6 Y 3.27-3.60
Tm  0.8373  0.1627  0.6819  7 Tm 3.47-3.81, 4 Y 3.56-3.59, 3 Ce 3.66-3.67
Tm  0.8373  0.1627  0.8181  7 Tm 3.47-3.81, 4 Y 3.56-3.59, 3 Ce 3.66-3.67

=====

# 11
CeY8Tm4: optimized geometry, PBE-GGA.

Properties
The value obtained for the total energy is -5.632 eV per atom. For the formation energy from the elements, the calculation gives 0.178 eV per atom. As for the total magnetic moment: 0.06 μB per cell.

a = 9.8697 Å, b = 9.8697 Å, c = 9.8697 Å
α = 43.16°, β = 43.16°, γ = 43.16°
Last column: nearest neighbours and their distance in Å.
Element x y z (fractional)
Ce  0.0000  0.0000  0.0000  6 Y 2.85
Y  0.2447  0.2447  0.7018  1 Ce 2.85
Y  0.2447  0.7018  0.2447  1 Ce 2.85
Y  0.2794  0.2794  0.2794  9 Y 3.64-3.69, 3 Tm 3.68
Y  0.2982  0.7553  0.7553  1 Ce 2.85
Y  0.7018  0.2447  0.2447  1 Ce 2.85
Y  0.7206  0.7206  0.7206  9 Y 3.64-3.69, 3 Tm 3.68
Y  0.7553  0.2982  0.7553  1 Ce 2.85
Y  0.7553  0.7553  0.2982  1 Ce 2.85
Tm  0.0000  0.0000  0.5000  6 Y 3.52-3.68, 6 Tm 3.63
Tm  0.0000  0.5000  0.0000  6 Y 3.52-3.68, 6 Tm 3.63
Tm  0.5000  0.0000  0.0000  6 Y 3.52-3.68, 6 Tm 3.63
Tm  0.5000  0.5000  0.5000  6 Y 3.36, 6 Tm 3.63

=====

# 12
CeY4Tm10: optimized geometry, PBE-GGA.

Properties
The value obtained for the total energy is -4.835 eV per atom. For the formation energy from the elements, the calculation gives 0.266 eV per atom. As for the total magnetic moment: 0.87 μB per cell.

a = 8.7416 Å, b = 8.7416 Å, c = 8.7416 Å
α = 101.64°, β = 101.64°, γ = 126.62°
Last column: nearest neighbours and their distance in Å.
Element x y z (fractional)
Ce  0.0000  0.0000  0.0000  8 Tm 3.25, 4 Y 3.56
Y  0.2276  0.2276  0.4553  8 Tm 3.43-3.49, 1 Ce 3.56
Y  0.2276  0.7724  0.0000  8 Tm 3.43-3.49, 1 Ce 3.56
Y  0.7724  0.2276  0.0000  8 Tm 3.43-3.49, 1 Ce 3.56
Y  0.7724  0.7724  0.5447  8 Tm 3.43-3.49, 1 Ce 3.56
Tm  0.0880  0.2947  0.7932  4 Tm 3.22-3.26, 1 Ce 3.25, 4 Y 3.43-3.49
Tm  0.2500  0.7500  0.5000  4 Tm 3.26
Tm  0.2947  0.0880  0.7932  4 Tm 3.22-3.26, 1 Ce 3.25, 4 Y 3.43-3.49
Tm  0.2947  0.5015  0.2068  4 Tm 3.22-3.26, 1 Ce 3.25, 4 Y 3.43-3.49
Tm  0.4985  0.7053  0.7932  4 Tm 3.22-3.26, 1 Ce 3.25, 4 Y 3.43-3.49
Tm  0.5015  0.2947  0.2068  4 Tm 3.22-3.26, 1 Ce 3.25, 4 Y 3.43-3.49
Tm  0.7053  0.4985  0.7932  4 Tm 3.22-3.26, 1 Ce 3.25, 4 Y 3.43-3.49
Tm  0.7053  0.9120  0.2068  4 Tm 3.22-3.26, 1 Ce 3.25, 4 Y 3.43-3.49
Tm  0.7500  0.2500  0.5000  4 Tm 3.26
Tm  0.9120  0.7053  0.2068  4 Tm 3.22-3.26, 1 Ce 3.25, 4 Y 3.43-3.49